# CoCuH2O | the Alexandria database | PBE with a Hubbard U | relaxed
# V	7.7	Å³ per atom
# electronic total energy	-20.23	eV/cell
# crystal system	tetragonal
# Fermi-level density of states	1.329	states/eV per cell
data_CoCuH2O
_cell_length_a 3.1018
_cell_length_b 3.1018
_cell_length_c 3.9973
_cell_angle_alpha 90.00
_cell_angle_beta 90.00
_cell_angle_gamma 90.00
_space_group_name_H-M_alt 'P 4/m m m'
_space_group_IT_number 123
_space_group_name_Hall '-P 4 2'
loop_
_atom_site_label
_atom_site_type_symbol
_atom_site_fract_x
_atom_site_fract_y
_atom_site_fract_z
Co1 Co 0.0000 0.0000 0.0000
Cu1 Cu 0.5000 0.5000 0.5000
H1 H 0.0000 0.5000 0.0000
O1 O 0.0000 0.0000 0.5000